No. 1
Entry from Alexandria via LeMat-Bulk: an optimized crystal structure of CsNbH2F8 (PBE).

a = 5.0404 Å, b = 5.1612 Å, c = 8.5137 Å
α = 79.81°, β = 89.93°, γ = 69.66°
Last column: nearest neighbours and their distance in Å.
Fractional positions:
Cs (0.0000, 0.0000, 0.0000)  8 F 3.00-3.31, 2 H 3.33
Nb (0.0000, 0.0000, 0.5000)  6 F 1.91-1.98
H (0.4697, 0.3172, 0.2125)  1 F 0.97
H (0.5303, 0.6828, 0.7875)  1 F 0.97
F (0.2205, 0.2384, 0.4849)  1 Nb 1.91
F (0.2238, 0.8061, 0.3433)  1 Nb 1.93
F (0.2593, 0.7419, 0.6807)  1 H 1.55
F (0.3442, 0.3380, 0.1206)  1 H 0.97
F (0.6558, 0.6620, 0.8794)  1 H 0.97
F (0.7407, 0.2581, 0.3193)  1 H 1.55
F (0.7762, 0.1939, 0.6567)  1 Nb 1.93
F (0.7795, 0.7616, 0.5151)  1 Nb 1.91

Space-group type: P-1, No. 2
Uncorrected energy: -63.514 eV/cell
Total magnetization: 0.05 μB/f.u.

No. 2
Entry from Alexandria via LeMat-Bulk: an optimized crystal structure of ScCd3Sn (PBE).

a = 5.4889 Å, b = 5.4889 Å, c = 5.4889 Å
α = 90.00°, β = 90.00°, γ = 90.00°
Last column: nearest neighbours and their distance in Å.
Fractional positions:
Sc (0.0000, 0.0000, 0.0000)  6 Cd 2.74
Cd (0.0000, 0.0000, 0.5000)  2 Sc 2.74
Cd (0.0000, 0.5000, 0.0000)  2 Sc 2.74
Cd (0.5000, 0.0000, 0.0000)  2 Sc 2.74
Sn (0.5000, 0.5000, 0.5000)  12 Cd 3.88

Space-group type: Pm-3m, No. 221
Excess energy over the best structure of this formula in the dataset: 0.051 eV/atom
E_form: 312 kJ/mol of formula units
Total magnetization: 0.00 μB/f.u.

No. 3
Entry from Alexandria via LeMat-Bulk: an optimized crystal structure of YHf2ZnAs (PBE).

a = 5.2405 Å, b = 5.2405 Å, c = 5.0280 Å
α = 90.00°, β = 90.00°, γ = 90.00°
Last column: nearest neighbours and their distance in Å.
Fractional positions:
Y (0.0000, 0.0000, 0.0000)  2 Zn 2.51, 4 Hf 2.62
Hf (0.0000, 0.5000, 0.0000)  2 Y 2.62
Hf (0.5000, 0.0000, 0.0000)  2 Y 2.62
Zn (0.0000, 0.0000, 0.5000)  2 Y 2.51
As (0.5000, 0.5000, 0.5000)  8 Hf 3.63, 4 Zn 3.71

Space-group type: P4/mmm, No. 123
Excess energy over the best structure of this formula in the dataset: 0.993 eV/atom
E_form: 744 kJ/mol of formula units
Total magnetization: 0.00 μB/f.u.